The following is a DFT calculation (PBE-GGA) of crystalline Ho2Tm4Sc at its relaxed geometry.

```
Ho2Tm4Sc
1.0
5.4256 0.0000 0.0000
0.0000 12.0268 0.0000
0.0000 0.0000 12.9795
Ho Tm Sc
8 16 4
direct
0.0009 0.0715 0.1556
0.0009 0.4285 0.6556
0.4991 0.5715 0.1556
0.4991 0.9285 0.6556
0.5009 0.0715 0.3444
0.5009 0.4285 0.8444
0.9991 0.5715 0.3444
0.9991 0.9285 0.8444
0.0020 0.1450 0.6804
0.0018 0.2449 0.9252
0.0018 0.2551 0.4252
0.0020 0.3550 0.1804
0.4980 0.6450 0.6804
0.4982 0.7449 0.9252
0.4982 0.7551 0.4252
0.4980 0.8550 0.1804
0.5020 0.1450 0.8196
0.5018 0.2449 0.5748
0.5018 0.2551 0.0748
0.5020 0.3550 0.3196
0.9980 0.6450 0.8196
0.9982 0.7449 0.5748
0.9982 0.7551 0.0748
0.9980 0.8550 0.3196
0.0000 0.0000 0.5000
0.0000 0.5000 0.0000
0.5000 0.0000 0.0000
0.5000 0.5000 0.5000
```

## Properties
**Total magnetization**: 0.0 μB per formula unit
**N(E_F)**: 1.58 states/eV per atom
**Raw total energy**: -128.262 eV/cell
**V**: 211.74 Å³/f.u.



The following is a DFT calculation (PBE-GGA) of crystalline Ho5TmSc at its relaxed geometry.

```
Ho5TmSc
1.0
-3.2217 3.2585 5.0779
3.2217 -3.2585 5.0779
3.2217 3.2585 -5.0779
Ho Tm Sc
5 1 1
direct
0.0000 0.0000 0.0000
0.0142 0.7404 0.2738
0.4666 0.7404 0.7262
0.5422 0.2714 0.7292
0.5422 0.8130 0.2708
0.8852 0.3852 0.5000
0.2930 0.2930 0.0000
```

## Properties
**Total magnetization**: 0.0 μB per formula unit
**N(E_F)**: 1.15 states/eV per atom
**Raw total energy**: -31.870 eV/cell
**V**: 213.23 Å³/f.u.



The following is a DFT calculation (PBE-GGA) of crystalline Ho2Tm2Sc5 at its relaxed geometry.

```
Ho2Tm2Sc5
1.0
-5.7972 4.1251 5.2200
5.7972 -4.1251 5.2200
5.7972 4.1251 -5.2200
Ho Tm Sc
4 4 10
direct
0.0000 0.0000 0.0000
0.0000 0.5000 0.5000
0.0193 0.8757 0.6436
0.2320 0.3757 0.3564
0.3071 0.0407 0.4790
0.3071 0.3281 0.7664
0.5617 0.5407 0.2336
0.5617 0.8281 0.5210
0.0543 0.3442 0.9078
0.0543 0.6465 0.2101
0.2874 0.7534 0.0340
0.4364 0.1465 0.0922
0.4364 0.8442 0.7899
0.6745 0.3624 0.5626
0.6745 0.6119 0.8121
0.7194 0.2534 0.9660
0.7998 0.1119 0.4374
0.7998 0.8624 0.1879
```

## Properties
**Total magnetization**: 0.0 μB per formula unit
**N(E_F)**: 1.42 states/eV per atom
**Raw total energy**: -96.026 eV/cell
**V**: 249.66 Å³/f.u.



The following is a DFT calculation (PBE-GGA) of crystalline Ho5TmSc at its relaxed geometry.

```
Ho5TmSc
1.0
3.3776 -4.9851 0.0000
3.3776 4.9851 0.0000
-1.9636 0.0000 6.5009
Ho Tm Sc
5 1 1
direct
0.0000 0.0000 0.0000
0.0967 0.5279 0.2648
0.4721 0.9033 0.7352
0.5279 0.0967 0.2648
0.9033 0.4721 0.7352
0.0000 0.0000 0.5000
0.5000 0.5000 0.0000
```

## Properties
**Total magnetization**: 0.0 μB per formula unit
**N(E_F)**: 1.22 states/eV per atom
**Raw total energy**: -32.202 eV/cell
**V**: 218.92 Å³/f.u.



- What is the formula in the second record?
  Ho5TmSc